Below is crystalline CeHo7Er12 at its relaxed geometry, with properties calculated at the PBE-GGA level.

For the total moment, the calculation gives 0.4 μB per formula unit. The calculated volume comes out at 31.42 Å³ per atom. Its formation enthalpy at 0 K is 182 meV/atom. Its total energy is -89.1 eV per formula unit. Its energy above the most stable polymorph in this dataset is 0 meV per atom.

Geometry as CIF:
```
data_CeHo7Er12
_chemical_formula_sum 'Ce3 Ho21 Er36'
_cell_length_a 14.8551
_cell_length_b 14.8551
_cell_length_c 9.8631
_cell_angle_alpha 90.00
_cell_angle_beta 90.00
_cell_angle_gamma 120.00
_space_group_name_H-M_alt 'R -3'
_space_group_IT_number 148
_space_group_name_Hall '-R 3'
loop_
_atom_site_label
_atom_site_fract_x
_atom_site_fract_y
_atom_site_fract_z
Ce1 0.0000 0.0000 0.0000
Ho1 0.0000 0.0000 0.5000
Ho2 0.0703 0.8246 0.9297
Er1 0.0353 0.7861 0.5747
Er2 0.0450 0.8505 0.2556
```